DFT (PBE) results for a relaxed structure of Ce8Ir3I4Cl.

Output
Fermi-level density of states: 44.4 states/eV/f.u.
uncorrected formation energy: -0.9513 eV/atom
volume: 29.71 A^3/atom

Lattice parameters (Å, degrees): 8.352 9.230 8.351 116.90 120.00 90.00
Atoms (fractional coordinates):
Ce: 0.237 0.695 0.959
Ce: 0.236 0.695 0.473
Ce: 0.272 0.317 0.545
Ce: 0.722 0.695 0.959
Ce: 0.278 0.305 0.041
Ce: 0.728 0.683 0.455
Ce: 0.764 0.305 0.527
Ce: 0.763 0.305 0.041
Ir: 0.500 0.500 0.000
Ir: 0.500 0.500 0.500
Ir: 0.000 0.500 0.500
I: 0.500 0.000 0.000
I: 0.500 0.000 0.500
I: 0.000 0.000 0.000
I: 0.000 0.000 0.500
Cl: 0.000 0.500 0.000